(1)
Below is a relaxed structure of LiMg6Tl12, with properties calculated at the PBE-GGA level.

Cell: 8.7695 8.7695 8.7695 Å, 109.93 109.93 109.93°
Last column: nearest neighbours and their distance in Å.
Element x y z (fractional)
Li1 0.0000 0.0000 0.0000  6 Tl 3.23, 6 Mg 3.34
Mg1 0.2047 0.4611 0.3084  7 Tl 3.18-3.48, 4 Mg 3.21-3.53, 1 Li 3.34
Mg2 0.3084 0.2047 0.4611  7 Tl 3.18-3.48, 4 Mg 3.21-3.53, 1 Li 3.34
Mg3 0.4611 0.3084 0.2047  7 Tl 3.18-3.48, 4 Mg 3.21-3.53, 1 Li 3.34
Mg4 0.5389 0.6916 0.7953  7 Tl 3.18-3.48, 4 Mg 3.21-3.53, 1 Li 3.34
Mg5 0.6916 0.7953 0.5389  7 Tl 3.18-3.48, 4 Mg 3.21-3.53, 1 Li 3.34
Mg6 0.7953 0.5389 0.6916  7 Tl 3.18-3.48, 4 Mg 3.21-3.53, 1 Li 3.34
Tl1 0.0917 0.7338 0.1483  1 Li 3.23, 7 Tl 3.23-3.53, 3 Mg 3.31-3.41
Tl2 0.0956 0.3974 0.6010  4 Mg 3.18-3.48, 5 Tl 3.35-3.53
Tl3 0.1483 0.0917 0.7338  1 Li 3.23, 7 Tl 3.23-3.53, 3 Mg 3.31-3.41
Tl4 0.2662 0.8517 0.9083  1 Li 3.23, 7 Tl 3.23-3.53, 3 Mg 3.31-3.41
Tl5 0.3974 0.6010 0.0956  4 Mg 3.18-3.48, 5 Tl 3.35-3.53
Tl6 0.3990 0.9044 0.6026  4 Mg 3.18-3.48, 5 Tl 3.35-3.53
Tl7 0.6010 0.0956 0.3974  4 Mg 3.18-3.48, 5 Tl 3.35-3.53
Tl8 0.6026 0.3990 0.9044  4 Mg 3.18-3.48, 5 Tl 3.35-3.53
Tl9 0.7338 0.1483 0.0917  1 Li 3.23, 7 Tl 3.23-3.53, 3 Mg 3.31-3.41
Tl10 0.8517 0.9083 0.2662  1 Li 3.23, 7 Tl 3.23-3.53, 3 Mg 3.31-3.41
Tl11 0.9044 0.6026 0.3990  4 Mg 3.18-3.48, 5 Tl 3.35-3.53
Tl12 0.9083 0.2662 0.8517  1 Li 3.23, 7 Tl 3.23-3.53, 3 Mg 3.31-3.41

Formation energy: 0.001 eV/atom
SG: R-3 (148)
Spin magnetization: 0.00 μB/atom
E_tot: -2.10 eV/atom

=====

(2)
Below is a relaxed structure of Cs2NaWCl6, with properties calculated at the PBE-GGA level.

Cell: 7.4857 7.4857 7.4857 Å, 60.00 60.00 60.00°
Last column: nearest neighbours and their distance in Å.
Element x y z (fractional)
Cs1 0.2500 0.2500 0.2500  12 Cl 3.75
Cs2 0.7500 0.7500 0.7500  12 Cl 3.75
Na1 0.0000 0.0000 0.0000  6 Cl 2.83
W1 0.5000 0.5000 0.5000  6 Cl 2.46
Cl1 0.2672 0.2672 0.7328  1 W 2.46
Cl2 0.2672 0.7328 0.2672  1 W 2.46
Cl3 0.2672 0.7328 0.7328  1 W 2.46
Cl4 0.7328 0.2672 0.2672  1 W 2.46
Cl5 0.7328 0.2672 0.7328  1 W 2.46
Cl6 0.7328 0.7328 0.2672  1 W 2.46

Formation energy without anion corrections: -1446 meV per atom
SG: Fm-3m (225)
Spin magnetization: 0.30 μB/atom
E_tot: -4.15 eV/atom

=====

(3)
Below is a relaxed structure of K3Pa3VTe8, with properties calculated at the PBE-GGA level.

Cell: 8.6291 8.6291 9.9698 Å, 115.71 115.71 59.92°
Last column: nearest neighbours and their distance in Å.
Element x y z (fractional)
K1 0.0000 0.0000 0.0000  6 Te 3.49-3.55
K2 0.0000 0.5000 0.0000  6 Te 3.49-3.55
K3 0.5000 0.0000 0.0000  6 Te 3.49-3.55
Pa1 0.0000 0.5000 0.5000  6 Te 3.09-3.11
Pa2 0.5000 0.0000 0.5000  6 Te 3.09-3.11
Pa3 0.5000 0.5000 0.5000  6 Te 3.09-3.11
V1 0.0000 0.0000 0.5000  6 Te 2.91
Te1 0.2236 0.2236 0.6997  1 V 2.91, 2 Pa 3.09
Te2 0.2236 0.7526 0.6998  1 V 2.91, 2 Pa 3.09
Te3 0.2474 0.7764 0.3002  1 V 2.91, 2 Pa 3.09
Te4 0.2611 0.2611 0.2833  3 Pa 3.11
Te5 0.7389 0.7389 0.7167  3 Pa 3.11
Te6 0.7526 0.2236 0.6998  1 V 2.91, 2 Pa 3.09
Te7 0.7764 0.2474 0.3002  1 V 2.91, 2 Pa 3.09
Te8 0.7764 0.7764 0.3003  1 V 2.91, 2 Pa 3.09

Formation energy without anion corrections: -837 meV per atom
SG: C2/m (12)
Spin magnetization: 0.47 μB/atom
E_tot: -5.24 eV/atom

=====

(4)
Below is a relaxed structure of LiRu2, with properties calculated at the PBE-GGA level.

Cell: 4.2030 4.2030 5.0579 Å, 90.00 90.00 120.00°
Last column: nearest neighbours and their distance in Å.
Element x y z (fractional)
Li1 0.3333 0.6667 0.2500  5 Ru 2.43-2.53
Li2 0.6667 0.3333 0.7500  5 Ru 2.43-2.53
Ru1 0.0000 0.0000 0.0000  8 Ru 2.53-2.74, 6 Li 2.74
Ru2 0.0000 0.0000 0.5000  8 Ru 2.53-2.74, 6 Li 2.74
Ru3 0.3333 0.6667 0.7500  5 Li 2.43-2.53
Ru4 0.6667 0.3333 0.2500  5 Li 2.43-2.53

Formation energy: 0.413 eV/atom
SG: P6_3/mmc (194)
Spin magnetization: 0.28 μB/atom
E_tot: -6.41 eV/atom

=====

(5)
Below is a relaxed structure of PrAlCu, with properties calculated at the PBE-GGA level.

Cell: 4.6295 4.6295 4.6295 Å, 60.00 60.00 60.00°
Last column: nearest neighbours and their distance in Å.
Element x y z (fractional)
Pr1 0.0000 0.0000 0.0000  4 Cu 2.83
Al1 0.5000 0.5000 0.5000  4 Cu 2.83
Cu1 0.7500 0.7500 0.7500  4 Pr 2.83, 4 Al 2.83

Formation energy: -0.197 eV/atom
SG: F-43m (216)
Spin magnetization: 0.00 μB/atom
E_tot: -4.40 eV/atom

=====

(6)
Below is a relaxed structure of LiCaTm2, with properties calculated at the PBE-GGA level.

Cell: 3.6351 3.6351 9.0221 Å, 90.00 90.00 90.00°
Last column: nearest neighbours and their distance in Å.
Element x y z (fractional)
Li1 0.0000 0.0000 0.0000  8 Tm 3.13
Ca1 0.0000 0.0000 0.5000  4 Ca 3.64, 8 Tm 3.75
Tm1 0.5000 0.5000 0.1977  4 Li 3.13
Tm2 0.5000 0.5000 0.8023  4 Li 3.13

Formation energy: 0.175 eV/atom
SG: P4/mmm (123)
Spin magnetization: 0.00 μB/atom
E_tot: -3.04 eV/atom

=====

(7)
Below is a relaxed structure of FeB6Rh12, with properties calculated at the PBE-GGA level.

Cell: 6.6149 6.6149 6.6149 Å, 109.47 109.47 109.47°
Last column: nearest neighbours and their distance in Å.
Element x y z (fractional)
Fe1 0.0000 0.0000 0.0000  12 Rh 2.72
B1 0.1189 0.6189 0.5000  1 B 1.82
B2 0.3811 0.5000 0.8811  1 B 1.82
B3 0.5000 0.1189 0.6189  1 B 1.82
B4 0.5000 0.8811 0.3811  1 B 1.82
B5 0.6189 0.5000 0.1189  1 B 1.82
B6 0.8811 0.3811 0.5000  1 B 1.82
Rh1 0.1255 0.8184 0.3071  3 B 2.12-2.22
Rh2 0.1816 0.3071 0.4886  3 B 2.12-2.22
Rh3 0.1816 0.6929 0.8745  3 B 2.12-2.22
Rh4 0.3071 0.1255 0.8184  3 B 2.12-2.22
Rh5 0.3071 0.4886 0.1816  3 B 2.12-2.22
Rh6 0.4886 0.1816 0.3071  3 B 2.12-2.22
Rh7 0.5114 0.8184 0.6929  3 B 2.12-2.22
Rh8 0.6929 0.5114 0.8184  3 B 2.12-2.22
Rh9 0.6929 0.8745 0.1816  3 B 2.12-2.22
Rh10 0.8184 0.3071 0.1255  3 B 2.12-2.22
Rh11 0.8184 0.6929 0.5114  3 B 2.12-2.22
Rh12 0.8745 0.1816 0.6929  3 B 2.12-2.22

Formation energy: -0.231 eV/atom
SG: Im-3 (204)
Spin magnetization: 0.35 μB/atom
E_tot: -7.43 eV/atom

=====

(8)
Below is a relaxed structure of Cs2CoRh2Se6, with properties calculated at the PBE-GGA level.

Cell: 6.5607 6.5607 8.4273 Å, 98.30 98.30 121.22°
Last column: nearest neighbours and their distance in Å.
Element x y z (fractional)
Cs1 0.1668 0.8332 0.0000  6 Se 3.52-3.59, 3 Cs 3.74-3.81
Cs2 0.8332 0.1668 0.0000  6 Se 3.52-3.59, 3 Cs 3.74-3.81
Co1 0.0000 0.0000 0.5000  6 Se 2.41-2.44
Rh1 0.3296 0.6704 0.5000  6 Se 2.53-2.54
Rh2 0.6704 0.3296 0.5000  6 Se 2.53-2.54
Se1 0.0590 0.3749 0.6532  1 Co 2.41, 2 Rh 2.53
Se2 0.2715 0.2715 0.3507  1 Co 2.44, 2 Rh 2.54
Se3 0.3749 0.0590 0.6532  1 Co 2.41, 2 Rh 2.53
Se4 0.6251 0.9410 0.3468  1 Co 2.41, 2 Rh 2.53
Se5 0.7285 0.7285 0.6493  1 Co 2.44, 2 Rh 2.54
Se6 0.9410 0.6251 0.3468  1 Co 2.41, 2 Rh 2.53

Formation energy without anion corrections: -579 meV per atom
SG: C2/m (12)
Spin magnetization: 0.00 μB/atom
E_tot: -4.62 eV/atom

=====

(9)
Below is a relaxed structure of PmHfBi2, with properties calculated at the PBE-GGA level.

Cell: 3.6795 3.6795 8.0488 Å, 90.00 90.00 90.00°
Last column: nearest neighbours and their distance in Å.
Element x y z (fractional)
Pm1 0.0000 0.0000 0.0000  8 Bi 3.42, 4 Pm 3.68
Hf1 0.0000 0.0000 0.5000  8 Bi 3.17
Bi1 0.5000 0.5000 0.2760  4 Hf 3.17, 4 Pm 3.42
Bi2 0.5000 0.5000 0.7240  4 Hf 3.17, 4 Pm 3.42

Formation energy: -0.300 eV/atom
SG: P4/mmm (123)
Spin magnetization: 0.00 μB/atom
E_tot: -5.92 eV/atom

=====

(10)
Below is a relaxed structure of GdSc2In, with properties calculated at the PBE-GGA level.

Cell: 3.4162 3.4162 8.7054 Å, 90.00 90.00 90.00°
Last column: nearest neighbours and their distance in Å.
Element x y z (fractional)
Gd1 0.0000 0.0000 0.0000  8 Sc 3.40, 4 Gd 3.42
Sc1 0.5000 0.5000 0.2756  4 In 3.11, 4 Gd 3.40, 4 Sc 3.42
Sc2 0.5000 0.5000 0.7244  4 In 3.11, 4 Gd 3.40, 4 Sc 3.42
In1 0.0000 0.0000 0.5000  8 Sc 3.11, 4 In 3.42

Formation energy: -0.206 eV/atom
SG: P4/mmm (123)
Spin magnetization: 1.77 μB/atom
E_tot: -7.58 eV/atom

=====

(11)
Below is a relaxed structure of K2SrCr3H12, with properties calculated at the PBE-GGA level.

Cell: 6.7327 6.7327 6.7327 Å, 58.99 58.99 58.99°
Last column: nearest neighbours and their distance in Å.
Element x y z (fractional)
K1 0.1121 0.1121 0.1121  6 H 2.58-2.75
K2 0.8879 0.8879 0.8879  6 H 2.58-2.75
Sr1 0.5000 0.5000 0.5000  6 H 2.41
Cr1 0.0000 0.5000 0.5000  6 H 1.72-1.79
Cr2 0.5000 0.0000 0.5000  6 H 1.72-1.79
Cr3 0.5000 0.5000 0.0000  6 H 1.72-1.79
H1 0.0593 0.6240 0.6240  1 Cr 1.72
H2 0.2238 0.2238 0.6192  2 Cr 1.79
H3 0.2238 0.6192 0.2238  2 Cr 1.79
H4 0.3760 0.3760 0.9407  1 Cr 1.72
H5 0.3760 0.9407 0.3760  1 Cr 1.72
H6 0.3808 0.7762 0.7762  2 Cr 1.79
H7 0.6192 0.2238 0.2238  2 Cr 1.79
H8 0.6240 0.0593 0.6240  1 Cr 1.72
H9 0.6240 0.6240 0.0593  1 Cr 1.72
H10 0.7762 0.3808 0.7762  2 Cr 1.79
H11 0.7762 0.7762 0.3808  2 Cr 1.79
H12 0.9407 0.3760 0.3760  1 Cr 1.72

SG: R-3m (166)
Spin magnetization: 0.53 μB/atom
E_tot: -4.17 eV/atom

=====

(12)
Below is a relaxed structure of LaAlTl2, with properties calculated at the PBE-GGA level.

Cell: 4.7347 4.7429 4.8086 Å, 90.00 90.08 90.00°
Last column: nearest neighbours and their distance in Å.
Element x y z (fractional)
La1 0.0000 0.0000 0.0000  4 Al 3.35, 8 Tl 3.37-3.38
Al1 0.5000 0.5000 0.0000  4 La 3.35, 8 Tl 3.37-3.38
Tl1 0.0000 0.5000 0.5000  4 Tl 3.35, 4 Al 3.37-3.38, 4 La 3.38
Tl2 0.5000 0.0000 0.5000  4 Tl 3.35, 4 La 3.37-3.38, 4 Al 3.38

Formation energy: -0.276 eV/atom
SG: P2/m (10)
Spin magnetization: 0.00 μB/atom
E_tot: -3.63 eV/atom

=====

(13)
Below is a relaxed structure of ReSi2Os, with properties calculated at the PBE-GGA level.

Cell: 8.0163 8.0163 8.0163 Å, 20.39 20.39 20.39°
Last column: nearest neighbours and their distance in Å.
Element x y z (fractional)
Re1 0.0000 0.0000 0.0000  6 Si 2.58, 6 Re 2.84
Si1 0.2485 0.2485 0.2485  3 Os 2.53, 3 Re 2.58
Si2 0.7515 0.7515 0.7515  3 Os 2.53, 3 Re 2.58
Os1 0.5000 0.5000 0.5000  6 Si 2.53

Formation energy without anion corrections: -65 meV per atom
SG: R-3m (166)
Spin magnetization: 0.00 μB/atom
E_tot: -8.70 eV/atom